Record 1
Below is a geometry-optimized AlAgAu2 structure, with properties calculated at the PBEsol level.

Output
Energy above the lowest structure with this stoichiometry ... 0.072 eV/atom
Formation enthalpy at 0 K ... -0.192 eV/atom
Theoretical density ... 13.31 g cm⁻³
Space group ... R-3m (166)

Geometry as CIF:
```
data_AlAgAu2
_chemical_formula_sum 'Al1 Ag1 Au2'
_cell_length_a 2.962
_cell_length_b 2.962
_cell_length_c 8.847
_cell_angle_alpha 80.36
_cell_angle_beta 80.36
_cell_angle_gamma 60.00
_symmetry_space_group_name_H-M 'P 1'
_symmetry_Int_Tables_number 1
_symmetry_space_group_name_Hall 'P 1'
loop_
_atom_site_label
_atom_site_fract_x
_atom_site_fract_y
_atom_site_fract_z
_atom_site_occupancy
Al1 0.500 0.500 0.500 1
Au1 0.756 0.756 0.731 1
Au2 0.244 0.244 0.269 1
Ag1 0.000 0.000 0.000 1
```


Record 2
Below is a geometry-optimized AlAg2Au structure, with properties calculated at the PBEsol level.

Output
Formation enthalpy at 0 K ... -0.083 eV/atom
Theoretical density ... 11.22 g cm⁻³
Space group ... P4/mmm (123)

Geometry as CIF:
```
data_AlAg2Au
_chemical_formula_sum 'Al1 Ag2 Au1'
_cell_length_a 2.926
_cell_length_b 2.926
_cell_length_c 7.597
_cell_angle_alpha 90.00
_cell_angle_beta 90.00
_cell_angle_gamma 90.00
_symmetry_space_group_name_H-M 'P 1'
_symmetry_Int_Tables_number 1
_symmetry_space_group_name_Hall 'P 1'
loop_
_atom_site_label
_atom_site_fract_x
_atom_site_fract_y
_atom_site_fract_z
_atom_site_occupancy
Ag1 0.000 0.000 0.236 1
Ag2 0.000 0.000 0.764 1
Al1 0.500 0.500 0.000 1
Au1 0.500 0.500 0.500 1
```


Record 3
Below is a geometry-optimized AlAg2Au structure, with properties calculated at the PBEsol level.

Output
Formation enthalpy at 0 K ... -0.170 eV/atom
Theoretical density ... 11.28 g cm⁻³
Space group ... F-43m (216)

Geometry as CIF:
```
data_AlAg2Au
_chemical_formula_sum 'Al1 Ag2 Au1'
_cell_length_a 4.507
_cell_length_b 4.507
_cell_length_c 4.507
_cell_angle_alpha 60.00
_cell_angle_beta 60.00
_cell_angle_gamma 60.00
_symmetry_space_group_name_H-M 'P 1'
_symmetry_Int_Tables_number 1
_symmetry_space_group_name_Hall 'P 1'
loop_
_atom_site_label
_atom_site_fract_x
_atom_site_fract_y
_atom_site_fract_z
_atom_site_occupancy
Al1 0.500 0.500 0.500 1
Au1 0.750 0.750 0.750 1
Ag1 0.250 0.250 0.250 1
Ag2 0.000 0.000 0.000 1
```